Entry 1:
{"formula": "Zr2MnMo", "functional": "GGA-PBE", "state": "optimized geometry", "cell": [[-1.621, 2.282, 4.776], [1.621, -2.282, 4.776], [1.621, 2.282, -4.776]], "species": ["Zr", "Zr", "Mn", "Mo"], "fractional_positions": [[0.000, 0.000, 0.000], [0.729, 0.229, 0.500], [0.251, 0.751, 0.500], [0.465, 0.465, 0.000]], "crystal_system": "orthorhombic", "space_group": "No. 44"}


Entry 2:
{"formula": "LiCe2H12Rh3", "functional": "GGA-PBE", "state": "optimized geometry", "cell": [[3.158, 1.824, 4.684], [-3.158, 1.824, 4.684], [0.000, -3.647, 4.684]], "species": ["Li", "Ce", "Ce", "H", "H", "H", "H", "H", "H", "H", "H", "H", "H", "H", "H", "Rh", "Rh", "Rh"], "fractional_positions": [[0.000, 0.000, 0.000], [0.382, 0.382, 0.382], [0.618, 0.618, 0.618], [0.114, 0.114, 0.628], [0.114, 0.628, 0.114], [0.134, 0.682, 0.682], [0.318, 0.318, 0.866], [0.318, 0.866, 0.318], [0.372, 0.886, 0.886], [0.628, 0.114, 0.114], [0.682, 0.134, 0.682], [0.682, 0.682, 0.134], [0.866, 0.318, 0.318], [0.886, 0.372, 0.886], [0.886, 0.886, 0.372], [0.000, 0.000, 0.500], [0.000, 0.500, 0.000], [0.500, 0.000, 0.000]], "crystal_system": "trigonal", "space_group": "No. 166"}


Entry 3:
{"formula": "NbMoIr6", "functional": "GGA-PBE", "state": "optimized geometry", "cell": [[5.534, 0.000, 0.000], [0.000, 5.534, 0.000], [0.000, 0.000, 3.904]], "species": ["Nb", "Mo", "Ir", "Ir", "Ir", "Ir", "Ir", "Ir"], "fractional_positions": [[0.000, 0.000, 0.000], [0.500, 0.500, 0.000], [0.000, 0.500, 0.000], [0.254, 0.254, 0.500], [0.254, 0.746, 0.500], [0.500, 0.000, 0.000], [0.746, 0.254, 0.500], [0.746, 0.746, 0.500]], "crystal_system": "tetragonal", "space_group": "No. 123"}


Entry 4:
{"formula": "La2PmBr", "functional": "GGA-PBE", "state": "optimized geometry", "cell": [[3.667, 0.000, 0.000], [0.000, 3.667, 0.000], [0.000, 0.000, 9.807]], "species": ["La", "La", "Pm", "Br"], "fractional_positions": [[0.000, 0.000, 0.235], [0.000, 0.000, 0.765], [0.500, 0.500, 0.500], [0.500, 0.500, 0.000]], "formation_energy_uncorrected_ev_per_atom": -0.506, "crystal_system": "tetragonal", "space_group": "No. 123"}


Entry 5:
{"formula": "NbRuS4", "functional": "GGA-PBE", "state": "optimized geometry", "cell": [[6.010, 0.000, 0.000], [0.000, 5.806, 0.000], [-0.142, 0.000, 5.860]], "species": ["Nb", "Nb", "Ru", "Ru", "S", "S", "S", "S", "S", "S", "S", "S"], "fractional_positions": [[0.000, 0.000, 0.000], [0.000, 0.500, 0.500], [0.500, 0.000, 0.500], [0.500, 0.500, 0.000], [0.148, 0.129, 0.372], [0.148, 0.371, 0.872], [0.386, 0.624, 0.373], [0.386, 0.876, 0.873], [0.614, 0.124, 0.127], [0.614, 0.376, 0.627], [0.852, 0.629, 0.128], [0.852, 0.871, 0.628]], "formation_energy_uncorrected_ev_per_atom": -0.466, "crystal_system": "monoclinic", "space_group": "No. 14"}


Entry 6:
{"formula": "KEr4Ga3O12", "functional": "GGA-PBE", "state": "optimized geometry", "cell": [[-4.080, 4.080, 4.080], [4.080, -4.080, 4.080], [4.080, 4.080, -4.080]], "species": ["K", "Er", "Er", "Er", "Er", "Ga", "Ga", "Ga", "O", "O", "O", "O", "O", "O", "O", "O", "O", "O", "O", "O"], "fractional_positions": [[0.000, 0.000, 0.000], [0.000, 0.000, 0.500], [0.000, 0.500, 0.000], [0.500, 0.000, 0.000], [0.500, 0.500, 0.500], [0.000, 0.500, 0.500], [0.500, 0.000, 0.500], [0.500, 0.500, 0.000], [0.161, 0.329, 0.490], [0.161, 0.671, 0.832], [0.168, 0.839, 0.329], [0.329, 0.168, 0.839], [0.329, 0.490, 0.161], [0.490, 0.161, 0.329], [0.510, 0.839, 0.671], [0.671, 0.510, 0.839], [0.671, 0.832, 0.161], [0.832, 0.161, 0.671], [0.839, 0.329, 0.168], [0.839, 0.671, 0.510]], "formation_energy_uncorrected_ev_per_atom": -2.430, "crystal_system": "cubic", "space_group": "No. 204"}


D(E_F) values, unit states/eV per cell, following the record order: 4.20; 17.10; 3.78; 4.26; 6.56; 6.69.
E_tot values, unit eV/atom, following the record order: -9.2543; -4.5456; -9.6869; -4.5759; -6.4415; -6.8267.
Total magnetization values, unit μB/cell, following the record order: 0.0; 3.5; 0.0; 0.0; 0.0; 2.1.